Entry 1:
A relaxed HgBrCl4 crystal, computed with PBE. Values from VASP.

Cell and atoms, written as Quantum ESPRESSO input:
```
&SYSTEM
  ibrav = 0, nat = 6, ntyp = 3
/
ATOMIC_SPECIES
Hg 200.59 Hg.upf
Br 79.90 Br.upf
Cl 35.45 Cl.upf
CELL_PARAMETERS angstrom
0.0000 4.1633 4.1633
4.1633 0.0000 4.1633
4.1633 4.1633 0.0000
ATOMIC_POSITIONS angstrom
Hg 0.0000 0.0000 0.0000
Br 6.2450 6.2450 6.2450
Cl 3.1231 3.1231 3.1231
Cl 5.2036 5.2036 3.1231
Cl 5.2036 3.1231 5.2036
Cl 3.1231 5.2036 5.2036
```

Summary:
- electronic total energy (eV/atom) = -0.952
- symmetry = No. 216
- formation energy (no corrections) (eV/atom) = 0.6077
- total moment (Bohr magnetons per cell) = 0.07

---

Entry 2:
A relaxed HgBrCl crystal, computed with PBE. Values from VASP.

Cell and atoms, written as Quantum ESPRESSO input:
```
&SYSTEM
  ibrav = 0, nat = 3, ntyp = 3
/
ATOMIC_SPECIES
Hg 200.59 Hg.upf
Br 79.90 Br.upf
Cl 35.45 Cl.upf
CELL_PARAMETERS angstrom
4.0551 0.0000 0.0000
-2.0276 3.5118 0.0000
0.0000 0.0000 6.5598
ATOMIC_POSITIONS angstrom
Hg 0.0000 0.0000 0.0000
Br 2.0276 1.1706 1.6162
Cl 0.0000 2.3412 5.1134
```

Summary:
- electronic total energy (eV/atom) = -1.754
- symmetry = No. 156
- formation energy (no corrections) (eV/atom) = -0.4805
- total moment (Bohr magnetons per cell) = 0.00

---

Entry 3:
A relaxed HgBr2Cl crystal, computed with PBE. Values from VASP.

Cell and atoms, written as Quantum ESPRESSO input:
```
&SYSTEM
  ibrav = 0, nat = 4, ntyp = 3
/
ATOMIC_SPECIES
Hg 200.59 Hg.upf
Br 79.90 Br.upf
Cl 35.45 Cl.upf
CELL_PARAMETERS angstrom
4.0017 0.0000 0.0000
0.0000 5.1001 0.0000
0.0000 0.0000 6.9201
ATOMIC_POSITIONS angstrom
Hg 0.0000 0.0000 0.0000
Br 2.0009 1.2809 3.4601
Br 2.0009 3.8192 3.4601
Cl 0.0000 2.5501 0.0000
```

Summary:
- electronic total energy (eV/atom) = -1.467
- symmetry = No. 47
- formation energy (no corrections) (eV/atom) = -0.0938
- total moment (Bohr magnetons per cell) = 0.00

---

Entry 4:
A relaxed HgBr2Cl crystal, computed with PBE. Values from VASP.

Cell and atoms, written as Quantum ESPRESSO input:
```
&SYSTEM
  ibrav = 0, nat = 4, ntyp = 3
/
ATOMIC_SPECIES
Hg 200.59 Hg.upf
Br 79.90 Br.upf
Cl 35.45 Cl.upf
CELL_PARAMETERS angstrom
0.0000 3.7286 6.7101
2.5859 0.0000 6.7101
2.5859 3.7286 0.0000
ATOMIC_POSITIONS angstrom
Hg 0.0000 0.0000 0.0000
Br 2.5859 1.8643 3.3551
Br 0.0000 1.8643 3.3551
Cl 2.5859 3.7286 6.7101
```

Summary:
- electronic total energy (eV/atom) = -1.487
- symmetry = No. 69
- formation energy (no corrections) (eV/atom) = -0.1132
- total moment (Bohr magnetons per cell) = 0.00

---

Entry 5:
A relaxed HgBrCl crystal, computed with PBE. Values from VASP.

Cell and atoms, written as Quantum ESPRESSO input:
```
&SYSTEM
  ibrav = 0, nat = 6, ntyp = 3
/
ATOMIC_SPECIES
Hg 200.59 Hg.upf
Br 79.90 Br.upf
Cl 35.45 Cl.upf
CELL_PARAMETERS angstrom
4.1924 0.0000 0.0000
-0.6916 7.3154 0.0000
-1.4276 -3.7612 7.0105
ATOMIC_POSITIONS angstrom
Hg 0.0000 0.0000 0.0000
Hg 1.3824 -1.8806 3.5052
Br -0.8554 4.4847 1.7952
Br 2.9286 -0.9305 5.2152
Cl 1.4832 0.7888 1.6421
Cl 0.5899 2.7654 5.3683
```

Summary:
- electronic total energy (eV/atom) = -1.801
- symmetry = No. 2
- formation energy (no corrections) (eV/atom) = -0.5275
- total moment (Bohr magnetons per cell) = 0.00

---

Entry 6:
A relaxed HgBr2Cl crystal, computed with PBE. Values from VASP.

Cell and atoms, written as Quantum ESPRESSO input:
```
&SYSTEM
  ibrav = 0, nat = 4, ntyp = 3
/
ATOMIC_SPECIES
Hg 200.59 Hg.upf
Br 79.90 Br.upf
Cl 35.45 Cl.upf
CELL_PARAMETERS angstrom
4.0515 0.0000 0.0000
0.0000 4.0515 0.0000
0.0000 0.0000 7.4671
ATOMIC_POSITIONS angstrom
Hg 0.0000 0.0000 0.0000
Br 0.0000 2.0258 3.7336
Br 2.0258 0.0000 3.7336
Cl 2.0258 2.0258 0.0000
```

Summary:
- electronic total energy (eV/atom) = -1.383
- symmetry = No. 123
- formation energy (no corrections) (eV/atom) = -0.0093
- total moment (Bohr magnetons per cell) = 0.00

---

Entry 7:
A relaxed HgBr2Cl crystal, computed with PBE. Values from VASP.

Cell and atoms, written as Quantum ESPRESSO input:
```
&SYSTEM
  ibrav = 0, nat = 4, ntyp = 3
/
ATOMIC_SPECIES
Hg 200.59 Hg.upf
Br 79.90 Br.upf
Cl 35.45 Cl.upf
CELL_PARAMETERS angstrom
0.0000 3.6756 3.6756
3.6756 0.0000 3.6756
3.6756 3.6756 0.0000
ATOMIC_POSITIONS angstrom
Hg 0.0000 0.0000 0.0000
Br 1.8378 1.8378 1.8378
Br 5.5134 5.5134 5.5134
Cl 3.6756 3.6756 3.6756
```

Summary:
- electronic total energy (eV/atom) = -1.147
- symmetry = No. 225
- formation energy (no corrections) (eV/atom) = 0.2267
- total moment (Bohr magnetons per cell) = 1.01

---

Entry 8:
A relaxed Hg2BrCl2 crystal, computed with PBE. Values from VASP.

Cell and atoms, written as Quantum ESPRESSO input:
```
&SYSTEM
  ibrav = 0, nat = 10, ntyp = 3
/
ATOMIC_SPECIES
Hg 200.59 Hg.upf
Br 79.90 Br.upf
Cl 35.45 Cl.upf
CELL_PARAMETERS angstrom
7.8930 0.0000 0.0000
0.0000 7.8930 0.0000
0.0000 0.0000 4.0507
ATOMIC_POSITIONS angstrom
Hg 1.3726 2.5739 0.0000
Hg 2.5739 6.5205 0.0000
Hg 5.3191 1.3726 0.0000
Hg 6.5205 5.3191 0.0000
Br 0.0000 0.0000 0.0000
Br 3.9465 3.9465 0.0000
Cl 1.1448 5.0913 2.0254
Cl 2.8018 1.1448 2.0254
Cl 5.0913 6.7483 2.0254
Cl 6.7483 2.8018 2.0254
```

Summary:
- electronic total energy (eV/atom) = -1.428
- symmetry = No. 127
- formation energy (no corrections) (eV/atom) = -0.2340
- total moment (Bohr magnetons per cell) = 0.00

---

Entry 9:
A relaxed HgBrCl crystal, computed with PBE. Values from VASP.

Cell and atoms, written as Quantum ESPRESSO input:
```
&SYSTEM
  ibrav = 0, nat = 6, ntyp = 3
/
ATOMIC_SPECIES
Hg 200.59 Hg.upf
Br 79.90 Br.upf
Cl 35.45 Cl.upf
CELL_PARAMETERS angstrom
4.1866 0.0000 0.0000
0.0476 7.2942 0.0000
1.4959 3.3914 7.1930
ATOMIC_POSITIONS angstrom
Hg 1.4094 4.4404 1.8407
Hg 4.3207 6.2451 5.3523
Br 2.7753 8.1577 5.6766
Br 2.9548 2.5278 1.5164
Cl 1.5971 4.4141 5.0454
Cl 4.1330 6.2715 2.1477
```

Summary:
- electronic total energy (eV/atom) = -1.802
- symmetry = No. 2
- formation energy (no corrections) (eV/atom) = -0.5280
- total moment (Bohr magnetons per cell) = 0.00

---

Entry 10:
A relaxed HgBr2Cl crystal, computed with PBE. Values from VASP.

Cell and atoms, written as Quantum ESPRESSO input:
```
&SYSTEM
  ibrav = 0, nat = 4, ntyp = 3
/
ATOMIC_SPECIES
Hg 200.59 Hg.upf
Br 79.90 Br.upf
Cl 35.45 Cl.upf
CELL_PARAMETERS angstrom
2.5438 -5.0393 0.0000
2.5438 5.0393 0.0000
0.0000 0.0000 5.4299
ATOMIC_POSITIONS angstrom
Hg 0.0000 0.0000 0.0000
Br 2.5438 2.7934 2.7150
Br 2.5438 -2.7934 2.7150
Cl 2.5438 0.0000 0.0000
```

Summary:
- electronic total energy (eV/atom) = -1.521
- symmetry = No. 65
- formation energy (no corrections) (eV/atom) = -0.1476
- total moment (Bohr magnetons per cell) = 0.00

---

Entry 11:
A relaxed HgBr2Cl crystal, computed with PBE. Values from VASP.

Cell and atoms, written as Quantum ESPRESSO input:
```
&SYSTEM
  ibrav = 0, nat = 8, ntyp = 3
/
ATOMIC_SPECIES
Hg 200.59 Hg.upf
Br 79.90 Br.upf
Cl 35.45 Cl.upf
CELL_PARAMETERS angstrom
4.1466 0.0000 0.0000
0.0000 11.5813 0.0000
-0.5282 0.0000 6.8646
ATOMIC_POSITIONS angstrom
Hg 0.7964 2.8953 1.8960
Hg 2.8220 8.6860 4.9686
Br 2.0278 1.3803 0.0542
Br 2.0278 4.4104 0.0542
Br 1.5906 7.1709 6.8104
Br 1.5906 10.2011 6.8104
Cl 0.3776 8.6860 3.3089
Cl 3.2408 2.8953 3.5557
```

Summary:
- electronic total energy (eV/atom) = -1.660
- symmetry = No. 11
- formation energy (no corrections) (eV/atom) = -0.2863
- total moment (Bohr magnetons per cell) = 0.00

---

Entry 12:
A relaxed HgBr2Cl crystal, computed with PBE. Values from VASP.

Cell and atoms, written as Quantum ESPRESSO input:
```
&SYSTEM
  ibrav = 0, nat = 4, ntyp = 3
/
ATOMIC_SPECIES
Hg 200.59 Hg.upf
Br 79.90 Br.upf
Cl 35.45 Cl.upf
CELL_PARAMETERS angstrom
1.9687 1.1366 10.2461
-1.9687 1.1366 10.2461
0.0000 -2.2732 10.2461
ATOMIC_POSITIONS angstrom
Hg 0.0000 0.0000 0.0000
Br 0.0000 0.0000 8.5586
Br 0.0000 0.0000 15.3058
Cl 0.0000 0.0000 21.9898
```

Summary:
- electronic total energy (eV/atom) = -1.471
- symmetry = No. 160
- formation energy (no corrections) (eV/atom) = -0.0974
- total moment (Bohr magnetons per cell) = 1.00

---

- What is the formula in the sixth record?
  HgBr2Cl